{
  "formula": "RbTaSb2I",
  "functional": "GGA-PBEsol",
  "state": "optimized geometry",
  "lattice_angstrom": [[5.7150, 0.0000, 0.0000], [0.0000, 5.7150, 0.0000], [0.0000, 0.0000, 5.9251]],
  "species": ["Rb", "Ta", "Sb", "Sb", "I"],
  "frac_coords": [[0.0000, 0.0000, 0.0000], [0.5000, 0.5000, 0.5000], [0.0000, 0.5000, 0.0000], [0.5000, 0.0000, 0.0000], [0.0000, 0.0000, 0.5000]],
  "raw_formation_energy_ev_per_atom": 2.09,
  "space_group": "No. 123",
  "e_above_lowest_polymorph_mev_per_atom": 2188
}

{
  "formula": "RbSbTeI2",
  "functional": "GGA-PBEsol",
  "state": "optimized geometry",
  "lattice_angstrom": [[6.0934, 0.0000, 0.0000], [0.0000, 6.0934, 0.0000], [0.0000, 0.0000, 5.7030]],
  "species": ["Rb", "Sb", "Te", "I", "I"],
  "frac_coords": [[0.0000, 0.0000, 0.0000], [0.5000, 0.5000, 0.5000], [0.5000, 0.5000, 0.0000], [0.0000, 0.5000, 0.5000], [0.5000, 0.0000, 0.5000]],
  "raw_formation_energy_ev_per_atom": -0.52,
  "space_group": "No. 123"
}

{
  "formula": "RbSb2WI",
  "functional": "GGA-PBEsol",
  "state": "optimized geometry",
  "lattice_angstrom": [[5.1718, 0.0000, 0.0000], [0.0000, 5.1718, 0.0000], [0.0000, 0.0000, 6.1584]],
  "species": ["Rb", "Sb", "Sb", "W", "I"],
  "frac_coords": [[0.0000, 0.0000, 0.0000], [0.0000, 0.5000, 0.5000], [0.5000, 0.0000, 0.5000], [0.5000, 0.5000, 0.5000], [0.5000, 0.5000, 0.0000]],
  "raw_formation_energy_ev_per_atom": 0.16,
  "space_group": "No. 123"
}

{
  "formula": "RbYSbI2",
  "functional": "GGA-PBEsol",
  "state": "optimized geometry",
  "lattice_angstrom": [[6.0145, 0.0000, 0.0000], [0.0000, 6.0145, 0.0000], [0.0000, 0.0000, 6.0645]],
  "species": ["Rb", "Y", "Sb", "I", "I"],
  "frac_coords": [[0.0000, 0.0000, 0.0000], [0.5000, 0.5000, 0.5000], [0.0000, 0.0000, 0.5000], [0.0000, 0.5000, 0.0000], [0.5000, 0.0000, 0.0000]],
  "raw_formation_energy_ev_per_atom": 0.37,
  "space_group": "No. 123"
}

{
  "formula": "RbSc2I",
  "functional": "GGA-PBEsol",
  "state": "optimized geometry",
  "lattice_angstrom": [[3.5608, 0.0000, 0.0000], [-1.7804, 3.0837, 0.0000], [0.0000, 0.0000, 34.1830]],
  "species": ["Rb", "Rb", "Rb", "Sc", "Sc", "Sc", "Sc", "Sc", "Sc", "I", "I", "I"],
  "frac_coords": [[0.0000, 0.0000, 0.0000], [0.3333, 0.6667, 0.6667], [0.6667, 0.3333, 0.3333], [0.0000, 0.0000, 0.1013], [0.0000, 0.0000, 0.8987], [0.3333, 0.6667, 0.5653], [0.3333, 0.6667, 0.7680], [0.6667, 0.3333, 0.2320], [0.6667, 0.3333, 0.4347], [0.0000, 0.0000, 0.5000], [0.3333, 0.6667, 0.1667], [0.6667, 0.3333, 0.8333]],
  "raw_formation_energy_ev_per_atom": 0.17,
  "space_group": "No. 166"
}

{
  "formula": "Rb3ScI6",
  "functional": "GGA-PBEsol",
  "state": "optimized geometry",
  "lattice_angstrom": [[0.0000, 6.2059, 6.2059], [6.2059, 0.0000, 6.2059], [6.2059, 6.2059, 0.0000]],
  "species": ["Rb", "Rb", "Rb", "Sc", "I", "I", "I", "I", "I", "I"],
  "frac_coords": [[0.0000, 0.0000, 0.0000], [0.2500, 0.2500, 0.2500], [0.7500, 0.7500, 0.7500], [0.5000, 0.5000, 0.5000], [0.2709, 0.2709, 0.7291], [0.2709, 0.7291, 0.2709], [0.2709, 0.7291, 0.7291], [0.7291, 0.2709, 0.2709], [0.7291, 0.2709, 0.7291], [0.7291, 0.7291, 0.2709]],
  "raw_formation_energy_ev_per_atom": -1.32,
  "space_group": "No. 225"
}

{
  "formula": "RbScI2",
  "functional": "GGA-PBEsol",
  "state": "optimized geometry",
  "lattice_angstrom": [[7.9488, 0.0000, 0.0000], [0.0000, 7.9488, 0.0000], [0.0000, 0.0000, 7.9488]],
  "species": ["Rb", "Rb", "Rb", "Rb", "Sc", "Sc", "Sc", "Sc", "I", "I", "I", "I", "I", "I", "I", "I"],
  "frac_coords": [[0.0000, 0.0000, 0.0000], [0.0000, 0.5000, 0.5000], [0.5000, 0.0000, 0.5000], [0.5000, 0.5000, 0.0000], [0.0000, 0.0000, 0.5000], [0.0000, 0.5000, 0.0000], [0.5000, 0.0000, 0.0000], [0.5000, 0.5000, 0.5000], [0.2500, 0.2500, 0.2500], [0.2500, 0.2500, 0.7500], [0.2500, 0.7500, 0.2500], [0.2500, 0.7500, 0.7500], [0.7500, 0.2500, 0.2500], [0.7500, 0.2500, 0.7500], [0.7500, 0.7500, 0.2500], [0.7500, 0.7500, 0.7500]],
  "raw_formation_energy_ev_per_atom": -0.60,
  "space_group": "No. 225"
}

{
  "formula": "Rb2Se2I",
  "functional": "GGA-PBEsol",
  "state": "optimized geometry",
  "lattice_angstrom": [[4.0687, 0.0000, 0.0000], [0.0000, 4.0687, 0.0000], [0.0000, 0.0000, 19.9700]],
  "species": ["Rb", "Rb", "Rb", "Rb", "Se", "Se", "Se", "Se", "I", "I"],
  "frac_coords": [[0.0000, 0.0000, 0.1108], [0.0000, 0.0000, 0.8892], [0.5000, 0.5000, 0.3892], [0.5000, 0.5000, 0.6108], [0.0000, 0.5000, 0.2500], [0.0000, 0.5000, 0.7500], [0.5000, 0.0000, 0.2500], [0.5000, 0.0000, 0.7500], [0.0000, 0.0000, 0.5000], [0.5000, 0.5000, 0.0000]],
  "raw_formation_energy_ev_per_atom": -0.92,
  "space_group": "No. 139"
}

{
  "formula": "RbSe2I",
  "functional": "GGA-PBEsol",
  "state": "optimized geometry",
  "lattice_angstrom": [[3.9080, 0.0000, 0.0000], [-1.9540, 3.3845, 0.0000], [0.0000, 0.0000, 30.4677]],
  "species": ["Rb", "Rb", "Rb", "Se", "Se", "Se", "Se", "Se", "Se", "I", "I", "I"],
  "frac_coords": [[0.0000, 0.0000, 0.0000], [0.3333, 0.6667, 0.6667], [0.6667, 0.3333, 0.3333], [0.0000, 0.0000, 0.4143], [0.0000, 0.0000, 0.5857], [0.3333, 0.6667, 0.0810], [0.3333, 0.6667, 0.2524], [0.6667, 0.3333, 0.7476], [0.6667, 0.3333, 0.9190], [0.0000, 0.0000, 0.5000], [0.3333, 0.6667, 0.1667], [0.6667, 0.3333, 0.8333]],
  "raw_formation_energy_ev_per_atom": -0.02,
  "space_group": "No. 166"
}

{
  "formula": "Rb3SeI",
  "functional": "GGA-PBEsol",
  "state": "optimized geometry",
  "lattice_angstrom": [[6.4262, 0.0000, 0.0000], [0.0000, 6.4262, 0.0000], [0.0000, 0.0000, 6.4262]],
  "species": ["Rb", "Rb", "Rb", "Se", "I"],
  "frac_coords": [[0.0000, 0.0000, 0.5000], [0.0000, 0.5000, 0.0000], [0.5000, 0.0000, 0.0000], [0.0000, 0.0000, 0.0000], [0.5000, 0.5000, 0.5000]],
  "raw_formation_energy_ev_per_atom": -1.09,
  "space_group": "No. 221"
}

{
  "formula": "RbTeSeI2",
  "functional": "GGA-PBEsol",
  "state": "optimized geometry",
  "lattice_angstrom": [[6.6475, 0.0000, 0.0000], [0.0000, 6.6475, 0.0000], [0.0000, 0.0000, 6.6638]],
  "species": ["Rb", "Te", "Se", "I", "I"],
  "frac_coords": [[0.0000, 0.0000, 0.0000], [0.0000, 0.0000, 0.5000], [0.5000, 0.5000, 0.5000], [0.0000, 0.5000, 0.0000], [0.5000, 0.0000, 0.0000]],
  "raw_formation_energy_ev_per_atom": 0.72,
  "space_group": "No. 123"
}

{
  "formula": "RbSiTeI2",
  "functional": "GGA-PBEsol",
  "state": "optimized geometry",
  "lattice_angstrom": [[6.4041, 0.0000, 0.0000], [0.0000, 6.4041, 0.0000], [0.0000, 0.0000, 6.3736]],
  "species": ["Rb", "Si", "Te", "I", "I"],
  "frac_coords": [[0.0000, 0.0000, 0.0000], [0.5000, 0.5000, 0.5000], [0.0000, 0.0000, 0.5000], [0.0000, 0.5000, 0.0000], [0.5000, 0.0000, 0.0000]],
  "raw_formation_energy_ev_per_atom": 0.91,
  "space_group": "No. 123"
}